# 1
LiSb2Br: optimized geometry, GGA-PBE.

a = 3.4486 Å, b = 3.4486 Å, c = 8.0602 Å
α = 90.00°, β = 90.00°, γ = 90.00°
With the nearest neighbours (Å) after each atom.
Space group P4/mmm (No. 123)
One atom of each set of equivalent atoms:
Li: 0.0000 0.0000 0.0000 [1 per cell]  8 Sb 2.94
Sb: 0.5000 0.5000 0.2042 [2 per cell]  4 Li 2.94, 1 Sb 3.29
Br: 0.0000 0.0000 0.5000 [1 per cell]  8 Sb 3.41, 4 Br 3.45

Properties
The total DFT energy (no corrections) is -12.3 eV/cell. Its distance to the lowest polymorph of the same formula is 561.2 meV per atom.


# 2
Nd7SmTm3: optimized geometry, GGA-PBE.

a = 7.2281 Å, b = 10.2712 Å, c = 12.5324 Å
α = 65.96°, β = 73.28°, γ = 69.42°
With the nearest neighbours (Å) after each atom.
Space group P-1 (No. 2)
One atom of each set of equivalent atoms:
Nd: 0.0796 0.3063 0.0294 [2 per cell]  4 Tm 3.50-3.65, 7 Nd 3.55-3.66, 1 Sm 3.56
Nd: 0.0811 0.8070 0.5277 [2 per cell]  6 Nd 3.54-3.67, 4 Tm 3.54-3.67, 1 Sm 3.57
Nd: 0.2324 0.2502 0.7501 [2 per cell]  4 Tm 3.54-3.69, 2 Sm 3.56, 4 Nd 3.57-3.58
Nd: 0.3323 0.0464 0.2742 [2 per cell]  4 Tm 3.47-3.64, 7 Nd 3.57-3.67
Nd: 0.3462 0.5470 0.7743 [2 per cell]  4 Tm 3.47-3.64, 7 Nd 3.57-3.67
Nd: 0.4154 0.1936 0.4707 [2 per cell]  4 Tm 3.50-3.65, 7 Nd 3.55-3.66, 1 Sm 3.57
Nd: 0.4159 0.6930 0.9727 [2 per cell]  6 Nd 3.54-3.67, 4 Tm 3.54-3.67, 1 Sm 3.57
Sm: 0.0000 0.0000 0.0000 [1 per cell]  6 Nd 3.56-3.57, 4 Tm 3.56-3.61
Sm: 0.0000 0.5000 0.5000 [1 per cell]  6 Nd 3.56-3.57, 4 Tm 3.56-3.61
Tm: 0.1656 0.4368 0.2242 [2 per cell]  10 Nd 3.50-3.67, 1 Sm 3.56
Tm: 0.1740 0.9370 0.7242 [2 per cell]  10 Nd 3.50-3.67, 1 Sm 3.56
Tm: 0.5000 0.0000 0.0000 [1 per cell]  8 Nd 3.47-3.69, 2 Sm 3.61
Tm: 0.5000 0.5000 0.5000 [1 per cell]  8 Nd 3.47-3.69, 2 Sm 3.61

Properties
The total DFT energy (no corrections) is -99.2 eV/cell. Its distance to the lowest polymorph of the same formula is 0.0 meV per atom.


# 3
La12Ho3Zn: optimized geometry, GGA-PBE.

a = 5.1421 Å, b = 5.1421 Å, c = 20.6804 Å
α = 90.00°, β = 90.00°, γ = 90.00°
With the nearest neighbours (Å) after each atom.
Space group P4/mmm (No. 123)
One atom of each set of equivalent atoms:
La: 0.0000 0.0000 0.0000 [1 per cell]  8 La 3.56, 4 Zn 3.64
La: 0.0000 0.0000 0.2451 [2 per cell]  4 Ho 3.64, 8 La 3.66-3.69
La: 0.0000 0.0000 0.5000 [1 per cell]  4 Ho 3.64, 8 La 3.68
La: 0.0000 0.5000 0.1190 [4 per cell]  8 La 3.56-3.66, 2 Zn 3.56, 2 Ho 3.67
La: 0.0000 0.5000 0.3728 [4 per cell]  8 La 3.64-3.69, 4 Ho 3.68
Ho: 0.5000 0.5000 0.2455 [2 per cell]  12 La 3.64-3.68
Ho: 0.5000 0.5000 0.5000 [1 per cell]  12 La 3.64-3.68
Zn: 0.5000 0.5000 0.0000 [1 per cell]  12 La 3.56-3.64

Properties
The total DFT energy (no corrections) is -74.1 eV/cell.


# 4
La2HPt4: optimized geometry, GGA-PBE.

a = 4.1866 Å, b = 4.1866 Å, c = 15.2895 Å
α = 90.00°, β = 90.00°, γ = 90.00°
With the nearest neighbours (Å) after each atom.
Space group I4/mmm (No. 139)
One atom of each set of equivalent atoms:
La: 0.0000 0.0000 0.1593 [4 per cell]  9 Pt 2.98-3.21
H: 0.0000 0.0000 0.5000 [2 per cell]  6 Pt 2.07-2.09
Pt: 0.0000 0.0000 0.3646 [4 per cell]  1 H 2.07
Pt: 0.0000 0.5000 0.0000 [4 per cell]  2 H 2.09

Properties
The total DFT energy (no corrections) is -86.0 eV/cell.


# 5
Rb2NaCr: optimized geometry, GGA-PBE.

a = 9.2891 Å, b = 9.2891 Å, c = 9.2891 Å
α = 90.00°, β = 90.00°, γ = 90.00°
With the nearest neighbours (Å) after each atom.
Space group Fm-3m (No. 225)
One atom of each set of equivalent atoms:
Rb: 0.2500 0.2500 0.2500 [8 per cell]  4 Cr 4.02, 4 Na 4.02
Na: 0.0000 0.0000 0.0000 [4 per cell]  8 Rb 4.02
Cr: 0.0000 0.0000 0.5000 [4 per cell]  8 Rb 4.02

Properties
The total DFT energy (no corrections) is -40.8 eV/cell.


# 6
CaV3Zn: optimized geometry, GGA-PBE.

a = 4.8343 Å, b = 4.8343 Å, c = 4.8343 Å
α = 90.00°, β = 90.00°, γ = 90.00°
With the nearest neighbours (Å) after each atom.
Space group Pm-3m (No. 221)
One atom of each set of equivalent atoms:
Ca: 0.0000 0.0000 0.0000 [1 per cell]  12 V 3.42
V: 0.0000 0.5000 0.5000 [3 per cell]  2 Zn 2.42
Zn: 0.5000 0.5000 0.5000 [1 per cell]  6 V 2.42

Properties
The total DFT energy (no corrections) is -25.1 eV/cell. Its distance to the lowest polymorph of the same formula is 0.0 meV per atom.


# 7
PmSb2P2Pd7: optimized geometry, GGA-PBE.

a = 5.9040 Å, b = 6.8709 Å, c = 11.3909 Å
α = 90.00°, β = 93.20°, γ = 90.00°
With the nearest neighbours (Å) after each atom.
Space group C2/m (No. 12)
One atom of each set of equivalent atoms:
Pm: 0.0000 0.0000 0.0000 [2 per cell]  2 P 2.91, 2 Pd 2.95
Sb: 0.1479 0.0000 0.3854 [4 per cell]  5 Pd 2.67-2.97
P: 0.1827 0.5000 0.1866 [4 per cell]  6 Pd 2.32-2.43
Pd: 0.0000 0.5000 0.0000 [2 per cell]  2 P 2.33
Pd: 0.1332 0.2950 0.7788 [8 per cell]  2 P 2.32-2.39
Pd: 0.1509 0.5000 0.3987 [4 per cell]  1 P 2.43, 1 Sb 2.67

Properties
The total DFT energy (no corrections) is -132.9 eV/cell.


# 8
Zn3TcNi12: optimized geometry, GGA-PBE.

a = 3.5800 Å, b = 3.5800 Å, c = 14.3717 Å
α = 90.00°, β = 90.00°, γ = 90.00°
With the nearest neighbours (Å) after each atom.
Space group P4/mmm (No. 123)
One atom of each set of equivalent atoms:
Zn: 0.0000 0.0000 0.0000 [1 per cell]  12 Ni 2.53
Zn: 0.0000 0.0000 0.2479 [2 per cell]  12 Ni 2.52-2.57
Tc: 0.0000 0.0000 0.5000 [1 per cell]  12 Ni 2.52-2.53
Ni: 0.0000 0.5000 0.1247 [4 per cell]  4 Zn 2.52-2.53, 8 Ni 2.53-2.54
Ni: 0.0000 0.5000 0.3762 [4 per cell]  2 Tc 2.52, 8 Ni 2.52-2.55, 2 Zn 2.57
Ni: 0.5000 0.5000 0.0000 [1 per cell]  4 Zn 2.53, 8 Ni 2.53
Ni: 0.5000 0.5000 0.2497 [2 per cell]  4 Zn 2.53, 8 Ni 2.54-2.55
Ni: 0.5000 0.5000 0.5000 [1 per cell]  8 Ni 2.52, 4 Tc 2.53

Properties
The total DFT energy (no corrections) is -85.0 eV/cell.